Entry 1:
## ZrCo2Te (GGA-PBEsol)

Data for a relaxed ZrCo2Te crystal.

Unit cell a=3.452 b=3.452 c=5.316 alpha=90.00 beta=90.00 gamma=90.00
Element x y z (fractional)
Zr 0.000 0.000 0.000
Co 0.000 0.000 0.475
Co 0.500 0.500 0.182
Te 0.500 0.500 0.643

Results
The value obtained for the uncorrected formation energy is -25 meV per atom. Its density of states at the Fermi level is 3.43 states/eV/f.u.



Entry 2:
## IrPt2Cl (GGA-PBEsol)

Data for a relaxed IrPt2Cl crystal.

Unit cell a=2.748 b=3.367 c=6.899 alpha=90.00 beta=90.00 gamma=90.00
Element x y z (fractional)
Ir 0.000 0.000 0.000
Pt 0.500 0.500 0.225
Pt 0.500 0.500 0.775
Cl 0.500 0.000 0.500

Results
The value obtained for the uncorrected formation energy is 291 meV per atom. Its density of states at the Fermi level is 3.14 states/eV/f.u.



Entry 3:
## HfCoP3 (GGA-PBEsol)

Data for a relaxed HfCoP3 crystal.

Unit cell a=4.853 b=4.853 c=4.853 alpha=90.00 beta=90.00 gamma=90.00
Element x y z (fractional)
Hf 0.000 0.000 0.000
Co 0.500 0.500 0.500
P 0.000 0.000 0.500
P 0.000 0.500 0.000
P 0.500 0.000 0.000

Results
The energy relative to the elements comes out at 1.01 eV per atom. Its density of states at the Fermi level is 6.94 states/eV/f.u.